# Gd2MnGe4O12

Gd2MnGe4O12 after structural relaxation (GGA+U, Alexandria).

Computed properties:
For the total energy, the calculation gives -8.021 eV per atom. Its volume is 1013.75 Å³/cell.

Unit cell a=14.082 b=14.339 c=5.021 alpha=90.00 beta=90.00 gamma=90.00
Space group Cmme (No. 67)
Symmetry-distinct sites (fractional):
Gd  0.250  0.000  0.000 x4
Gd  0.250  0.250  0.000 x4
Mn  0.000  0.000  0.000 x4
Ge  0.111  0.134  0.490 x16
O  0.000  0.133  0.669 x8
O  0.110  0.053  0.230 x16
O  0.122  0.250  0.329 x8
O  0.197  0.132  0.742 x16